No. 1
VASP calculation (PBE) on an optimized crystal structure of YInPt2.

Cell: 4.1471 4.1471 9.0939 Å, 90.00 90.00 90.00°
Closest atoms and distances in Å follow each position.
Element x y z (fractional)
Y 0.0000 0.0000 0.0000  8 Pt 2.93-3.08, 4 In 3.08
Y 0.5000 0.5000 0.5000  8 Pt 2.93-3.08, 4 In 3.08
In 0.0000 0.5000 0.2500  8 Pt 2.93-3.08, 4 Y 3.08
In 0.5000 0.0000 0.7500  8 Pt 2.93-3.08, 4 Y 3.08
Pt 0.0000 0.0000 0.5000  4 Y 2.93, 4 In 3.08, 4 Pt 3.08
Pt 0.0000 0.5000 0.7500  4 In 2.93, 4 Pt 3.08, 4 Y 3.08
Pt 0.5000 0.0000 0.2500  4 In 2.93, 4 Pt 3.08, 4 Y 3.08
Pt 0.5000 0.5000 0.0000  4 Y 2.93, 4 In 3.08, 4 Pt 3.08

Computed properties:
DOS at the Fermi energy   1.4 states/eV/f.u.
Formation energy from the elements   -0.818 eV/atom



No. 2
VASP calculation (PBE) on an optimized crystal structure of ReSb2Br.

Cell: 3.3744 5.2404 10.7208 Å, 90.00 90.00 90.00°
Closest atoms and distances in Å follow each position.
Element x y z (fractional)
Re 0.0000 0.0000 0.0000  4 Sb 2.75
Re 0.5000 0.5000 0.0000  4 Sb 2.75
Sb 0.0000 0.5000 0.2028  2 Re 2.75
Sb 0.0000 0.5000 0.7972  2 Re 2.75
Sb 0.5000 0.0000 0.2028  2 Re 2.75
Sb 0.5000 0.0000 0.7972  2 Re 2.75
Br 0.0000 0.0000 0.5000  6 Br 3.12-3.37
Br 0.5000 0.5000 0.5000  6 Br 3.12-3.37

Computed properties:
ΔE_f (raw)   0.50 eV/atom
DOS at the Fermi energy   3.4 states/eV/f.u.
Excess energy over the best structure of this formula in the dataset   286 meV per atom



No. 3
VASP calculation (PBE) on an optimized crystal structure of HoMg6Cd2.

Cell: 4.3860 4.3860 11.0888 Å, 90.00 90.00 90.00°
Closest atoms and distances in Å follow each position.
Element x y z (fractional)
Ho 0.0000 0.0000 0.0000  8 Cd 3.39
Mg 0.0000 0.0000 0.5000  12 Mg 3.10-3.21
Mg 0.0000 0.5000 0.2888  2 Cd 2.86, 4 Mg 3.10
Mg 0.0000 0.5000 0.7112  2 Cd 2.86, 4 Mg 3.10
Mg 0.5000 0.0000 0.2888  2 Cd 2.86, 4 Mg 3.10
Mg 0.5000 0.0000 0.7112  2 Cd 2.86, 4 Mg 3.10
Mg 0.5000 0.5000 0.5000  12 Mg 3.10-3.21
Cd 0.5000 0.5000 0.1227  1 Cd 2.72, 4 Mg 2.86
Cd 0.5000 0.5000 0.8773  1 Cd 2.72, 4 Mg 2.86

Computed properties:
DOS at the Fermi energy   3.2 states/eV/f.u.
Excess energy over the best structure of this formula in the dataset   9 meV per atom
Formation energy from the elements   -0.068 eV/atom



No. 4
VASP calculation (PBE) on an optimized crystal structure of CdTcAg2.

Cell: 5.7276 9.8693 2.7031 Å, 90.00 113.29 90.00°
Closest atoms and distances in Å follow each position.
Element x y z (fractional)
Cd 0.0000 0.0000 0.0000  2 Cd 2.70, 2 Tc 2.86, 4 Ag 2.90
Cd 0.5000 0.5000 0.0000  2 Cd 2.70, 2 Tc 2.86, 4 Ag 2.90
Tc 0.0000 0.5000 0.0000  2 Tc 2.70, 2 Cd 2.86, 4 Ag 2.90
Tc 0.5000 0.0000 0.0000  2 Tc 2.70, 2 Cd 2.86, 4 Ag 2.90
Ag 0.2500 0.2500 0.5000  4 Ag 2.70-2.86, 2 Cd 2.90, 2 Tc 2.90
Ag 0.2500 0.7500 0.5000  4 Ag 2.70-2.86, 2 Cd 2.90, 2 Tc 2.90
Ag 0.7500 0.2500 0.5000  4 Ag 2.70-2.86, 2 Cd 2.90, 2 Tc 2.90
Ag 0.7500 0.7500 0.5000  4 Ag 2.70-2.86, 2 Cd 2.90, 2 Tc 2.90

Computed properties:
DOS at the Fermi energy   2.8 states/eV/f.u.
Formation energy from the elements   0.408 eV/atom



No. 5
VASP calculation (PBE) on an optimized crystal structure of Sr2AlGa.

Cell: 7.8612 7.8612 7.8612 Å, 90.00 90.00 90.00°
Closest atoms and distances in Å follow each position.
Element x y z (fractional)
Sr 0.2500 0.2500 0.2500  4 Al 3.40, 4 Ga 3.40
Sr 0.2500 0.2500 0.7500  4 Al 3.40, 4 Ga 3.40
Sr 0.2500 0.7500 0.2500  4 Al 3.40, 4 Ga 3.40
Sr 0.2500 0.7500 0.7500  4 Al 3.40, 4 Ga 3.40
Sr 0.7500 0.2500 0.2500  4 Al 3.40, 4 Ga 3.40
Sr 0.7500 0.2500 0.7500  4 Al 3.40, 4 Ga 3.40
Sr 0.7500 0.7500 0.2500  4 Al 3.40, 4 Ga 3.40
Sr 0.7500 0.7500 0.7500  4 Al 3.40, 4 Ga 3.40
Al 0.0000 0.0000 0.0000  8 Sr 3.40
Al 0.0000 0.5000 0.5000  8 Sr 3.40
Al 0.5000 0.0000 0.5000  8 Sr 3.40
Al 0.5000 0.5000 0.0000  8 Sr 3.40
Ga 0.0000 0.0000 0.5000  8 Sr 3.40
Ga 0.0000 0.5000 0.0000  8 Sr 3.40
Ga 0.5000 0.0000 0.0000  8 Sr 3.40
Ga 0.5000 0.5000 0.5000  8 Sr 3.40

Computed properties:
DOS at the Fermi energy   1.8 states/eV/f.u.
Excess energy over the best structure of this formula in the dataset   80 meV per atom
Formation energy from the elements   -0.214 eV/atom



No. 6
VASP calculation (PBE) on an optimized crystal structure of ScSiOsO2.

Cell: 3.7854 3.7854 5.9109 Å, 90.00 90.00 90.00°
Closest atoms and distances in Å follow each position.
Element x y z (fractional)
Sc 0.0000 0.0000 0.0000  4 Si 2.68, 2 Os 2.96
Si 0.5000 0.5000 0.0000  4 Sc 2.68
Os 0.0000 0.0000 0.5000  4 O 1.89
O 0.0000 0.5000 0.5000  2 Os 1.89
O 0.5000 0.0000 0.5000  2 Os 1.89

Computed properties:
ΔE_f (raw)   -0.38 eV/atom
DOS at the Fermi energy   4.6 states/eV/f.u.
Excess energy over the best structure of this formula in the dataset   0 meV per atom



No. 7
VASP calculation (PBE) on an optimized crystal structure of ZrV2Ir.

Cell: 7.2044 7.2044 5.3668 Å, 90.00 90.00 90.00°
Closest atoms and distances in Å follow each position.
Element x y z (fractional)
Zr 0.0000 0.0000 0.0000  2 Ir 2.68, 4 V 2.83
Zr 0.0000 0.5000 0.2500  2 Ir 2.68, 4 V 2.83
Zr 0.5000 0.0000 0.7500  2 Ir 2.68, 4 V 2.83
Zr 0.5000 0.5000 0.5000  2 Ir 2.68, 4 V 2.83
V 0.2123 0.2500 0.6250  2 Ir 2.46, 2 V 2.74
V 0.2500 0.7123 0.8750  2 Ir 2.46, 2 V 2.74
V 0.2500 0.7877 0.3750  2 Ir 2.46, 2 V 2.74
V 0.2877 0.2500 0.1250  2 Ir 2.46, 2 V 2.74
V 0.7123 0.7500 0.1250  2 Ir 2.46, 2 V 2.74
V 0.7500 0.2123 0.3750  2 Ir 2.46, 2 V 2.74
V 0.7500 0.2877 0.8750  2 Ir 2.46, 2 V 2.74
V 0.7877 0.7500 0.6250  2 Ir 2.46, 2 V 2.74
Ir 0.0000 0.0000 0.5000  4 V 2.46, 2 Zr 2.68
Ir 0.0000 0.5000 0.7500  4 V 2.46, 2 Zr 2.68
Ir 0.5000 0.0000 0.2500  4 V 2.46, 2 Zr 2.68
Ir 0.5000 0.5000 0.0000  4 V 2.46, 2 Zr 2.68

Computed properties:
DOS at the Fermi energy   5.4 states/eV/f.u.
Excess energy over the best structure of this formula in the dataset   436 meV per atom
Formation energy from the elements   0.159 eV/atom



No. 8
VASP calculation (PBE) on an optimized crystal structure of TmZrPb.

Cell: 5.2397 5.2397 3.3585 Å, 90.00 90.00 120.00°
Closest atoms and distances in Å follow each position.
Element x y z (fractional)
Tm 0.0000 0.0000 0.0000  2 Tm 3.36, 6 Pb 3.45-3.47, 6 Zr 3.46
Zr 0.6667 0.3333 0.5007  3 Pb 3.03, 2 Zr 3.36
Pb 0.3333 0.6667 0.4966  3 Zr 3.03, 2 Pb 3.36

Computed properties:
DOS at the Fermi energy   4.7 states/eV/f.u.
Formation energy from the elements   -0.002 eV/atom



No. 9
VASP calculation (PBE) on an optimized crystal structure of HoPuAl.

Cell: 3.2813 3.2813 13.7746 Å, 90.00 90.00 90.00°
Closest atoms and distances in Å follow each position.
Element x y z (fractional)
Ho 0.0000 0.0000 0.0000  4 Al 3.12, 4 Ho 3.28
Ho 0.5000 0.5000 0.5000  4 Al 3.12, 4 Ho 3.28
Pu 0.0000 0.0000 0.3036  4 Al 3.13, 4 Pu 3.28
Pu 0.5000 0.5000 0.8036  4 Al 3.13, 4 Pu 3.28
Al 0.0000 0.0000 0.6516  4 Ho 3.12, 4 Pu 3.13, 4 Al 3.28
Al 0.5000 0.5000 0.1516  4 Ho 3.12, 4 Pu 3.13, 4 Al 3.28

Computed properties:
DOS at the Fermi energy   7.7 states/eV/f.u.
Excess energy over the best structure of this formula in the dataset   0 meV per atom
Formation energy from the elements   -0.091 eV/atom



No. 10
VASP calculation (PBE) on an optimized crystal structure of K2Ti2S5.

Cell: 9.7772 8.5215 6.5959 Å, 79.48 58.97 41.55°
Closest atoms and distances in Å follow each position.
Element x y z (fractional)
K 0.1323 0.1323 0.8677  4 S 3.33
K 0.8677 0.8677 0.1323  4 S 3.33
Ti 0.3028 0.6972 0.3028  5 S 2.27-2.38
Ti 0.6972 0.3028 0.6972  5 S 2.27-2.38
S 0.1042 0.1042 0.3958  2 Ti 2.38
S 0.3958 0.3958 0.1042  2 Ti 2.38
S 0.5000 0.5000 0.5000  2 Ti 2.27
S 0.6042 0.6042 0.8958  2 Ti 2.38
S 0.8958 0.8958 0.6042  2 Ti 2.38

Computed properties:
ΔE_f (raw)   -1.25 eV/atom



No. 11
VASP calculation (PBE) on an optimized crystal structure of SmIn2Pd.

Cell: 4.6022 4.6022 15.7054 Å, 90.00 90.00 120.00°
Closest atoms and distances in Å follow each position.
Element x y z (fractional)
Sm 0.0000 0.0000 0.0000  8 In 3.19-3.47
Sm 0.3333 0.6667 0.6667  8 In 3.19-3.47
Sm 0.6667 0.3333 0.3333  8 In 3.19-3.47
In 0.0000 0.0000 0.2211  3 Pd 2.79
In 0.0000 0.0000 0.7789  3 Pd 2.79
In 0.3333 0.6667 0.4455  3 Pd 2.79
In 0.3333 0.6667 0.8878  3 Pd 2.79
In 0.6667 0.3333 0.1122  3 Pd 2.79
In 0.6667 0.3333 0.5545  3 Pd 2.79
Pd 0.0000 0.0000 0.5000  6 In 2.79
Pd 0.3333 0.6667 0.1667  6 In 2.79
Pd 0.6667 0.3333 0.8333  6 In 2.79

Computed properties:
DOS at the Fermi energy   1.9 states/eV/f.u.
Formation energy from the elements   -0.516 eV/atom



No. 12
VASP calculation (PBE) on an optimized crystal structure of TcAg3.

Cell: 4.1514 4.1514 4.1514 Å, 90.00 90.00 90.00°
Closest atoms and distances in Å follow each position.
Element x y z (fractional)
Tc 0.0000 0.0000 0.0000  12 Ag 2.94
Ag 0.0000 0.5000 0.5000  4 Tc 2.94, 8 Ag 2.94
Ag 0.5000 0.0000 0.5000  4 Tc 2.94, 8 Ag 2.94
Ag 0.5000 0.5000 0.0000  4 Tc 2.94, 8 Ag 2.94

Computed properties:
DOS at the Fermi energy   6.1 states/eV/f.u.
Excess energy over the best structure of this formula in the dataset   391 meV per atom
Formation energy from the elements   0.702 eV/atom